No. 1
Computed, not measured: a relaxed structure of CrHgTe2 at the GGA-PBEsol level of DFT.

Cell lengths 4.0503, 4.0503, 12.2023 Å; angles 90.00, 90.00, 90.00 degrees
Space group I-4m2 (No. 119)
Symmetry-distinct sites (fractional):
Cr1 0.0000 0.0000 0.0000 (multiplicity 2)
Hg1 0.0000 0.5000 0.2500 (multiplicity 2)
Te1 0.0000 0.0000 0.5000 (multiplicity 2)
Te2 0.0000 0.5000 0.7500 (multiplicity 2)

Values from the calculation:
Total magnetic moment ... 7.9 μB per cell
Raw formation energy ... 7.8 kcal/mol of atoms
D(E_F) ... 5.24 states/eV/cell
V ... 25.02 A^3/atom
Raw total energy ... -4.126 eV per atom

---

No. 2
Computed, not measured: a relaxed structure of CrHgTe2 at the GGA-PBEsol level of DFT.

Cell lengths 6.5926, 3.7981, 8.2505 Å; angles 90.00, 105.22, 90.00 degrees
Space group C2/m (No. 12)
Symmetry-distinct sites (fractional):
Cr1 0.0000 0.0000 0.0000 (multiplicity 2)
Hg1 0.0000 0.5000 0.5000 (multiplicity 2)
Te1 0.2298 0.5000 0.1910 (multiplicity 4)

Values from the calculation:
Total magnetic moment ... 5.0 μB per cell
Raw formation energy ... -1.7 kcal/mol of atoms
D(E_F) ... 3.74 states/eV/cell
V ... 24.92 A^3/atom
Raw total energy ... -4.540 eV per atom

---

No. 3
Computed, not measured: a relaxed structure of CrHgTe2 at the GGA-PBEsol level of DFT.

Cell lengths 5.4696, 9.9737, 3.9056 Å; angles 90.00, 90.00, 90.00 degrees
Space group Cmmm (No. 65)
Symmetry-distinct sites (fractional):
Cr1 0.0000 0.0000 0.0000 (multiplicity 2)
Hg1 0.0000 0.5000 0.0000 (multiplicity 2)
Te1 0.0000 0.1778 0.5000 (multiplicity 4)

Values from the calculation:
Total magnetic moment ... 6.2 μB per cell
Raw formation energy ... 2.2 kcal/mol of atoms
D(E_F) ... 2.76 states/eV/cell
V ... 26.63 A^3/atom
Raw total energy ... -4.368 eV per atom